Entry from the Alexandria database: an optimized crystal structure of Ca2CuIrO6 (GGA-PBEsol).

Cell lengths 5.3284, 5.6093, 9.1849 Å; angles 90.00, 125.15, 90.00 degrees
Last column: nearest neighbours and their distance in Å.
Space group P2_1/c (No. 14)
One atom of each set of equivalent atoms:
Ca 0.2315 0.0662 0.2489 [4 per cell]  6 O 2.29-2.52
Cu 0.0000 0.0000 0.5000 [2 per cell]  6 O 1.98-2.08
Ir 0.5000 0.0000 0.0000 [2 per cell]  6 O 1.94-1.95
O 0.1533 0.1908 0.9508 [4 per cell]  1 Ir 1.95, 1 Cu 2.07
O 0.2614 0.7083 0.9466 [4 per cell]  1 Ir 1.95, 1 Cu 2.08
O 0.3532 0.0330 0.7521 [4 per cell]  1 Ir 1.94, 1 Cu 1.98

Values from the calculation:
**Raw total energy**: -6.63 eV per atom
**Formation energy from raw total energies**: -1635 meV per atom